1.
First-principles (SCAN) data for a crystal of Tb2Ge3Pt9 relaxed with PBEsol, as listed in Alexandria.

- Formation energy: -1212 kJ/mol of formula units
- Raw total energy: -56.792 eV per atom
- M_tot: 0.00 μB per formula unit
- D(E_F): 5.00 states/eV/f.u.
- Space group: No. 15

Cell lengths 7.721, 7.721, 9.985 Å; angles 112.99, 112.99, 60.20 degrees
Fractional coordinates of all 28 atoms:
Tb1 0.084 0.255 0.251
Tb2 0.255 0.084 0.751
Tb3 0.745 0.916 0.249
Tb4 0.916 0.745 0.749
Ge1 0.000 0.500 0.000
Ge2 0.139 0.682 0.503
Ge3 0.318 0.861 0.997
Ge4 0.500 0.000 0.500
Ge5 0.682 0.139 0.003
Ge6 0.861 0.318 0.497
Pt1 0.024 0.858 0.078
Pt2 0.142 0.976 0.422
Pt3 0.196 0.359 0.580
Pt4 0.205 0.586 0.258
Pt5 0.301 0.478 0.926
Pt6 0.359 0.196 0.080
Pt7 0.368 0.632 0.750
Pt8 0.414 0.795 0.242
Pt9 0.478 0.301 0.426
Pt10 0.522 0.699 0.574
Pt11 0.586 0.205 0.758
Pt12 0.632 0.368 0.250
Pt13 0.641 0.804 0.920
Pt14 0.699 0.522 0.074
Pt15 0.795 0.414 0.742
Pt16 0.804 0.641 0.420
Pt17 0.858 0.024 0.578
Pt18 0.976 0.142 0.922

2.
First-principles (SCAN) data for a crystal of Sr2AlAu relaxed with PBEsol, as listed in Alexandria.

- Formation energy: -233 kJ/mol of formula units
- Raw total energy: -30.970 eV per atom
- M_tot: 0.00 μB per formula unit
- D(E_F): 2.87 states/eV/f.u.
- Space group: No. 38

Cell lengths 4.491, 6.099, 6.099 Å; angles 46.81, 90.00, 90.00 degrees
Fractional coordinates of all 4 atoms:
Sr1 0.000 0.000 0.000
Sr2 0.500 0.292 0.292
Al1 0.000 0.696 0.696
Au1 0.500 0.589 0.589

3.
First-principles (SCAN) data for a crystal of Ga2TcAu relaxed with PBEsol, as listed in Alexandria.

- Formation energy: 8 kJ/mol of formula units
- Raw total energy: -34.207 eV per atom
- M_tot: 0.00 μB per formula unit
- D(E_F): 1.45 states/eV/f.u.
- Space group: No. 225

Cell lengths 4.363, 4.363, 4.363 Å; angles 60.00, 60.00, 60.00 degrees
Fractional coordinates of all 4 atoms:
Ga1 0.250 0.250 0.250
Ga2 0.750 0.750 0.750
Tc1 0.000 0.000 0.000
Au1 0.500 0.500 0.500

4.
First-principles (SCAN) data for a crystal of TlCCl3 relaxed with PBEsol, as listed in Alexandria.

- Formation energy without anion corrections: 5.32 eV per formula unit
- Raw total energy: -20.215 eV per atom
- M_tot: 1.70 μB per formula unit
- D(E_F): 8.23 states/eV/f.u.
- Space group: No. 221

Cell lengths 5.197, 5.197, 5.197 Å; angles 90.00, 90.00, 90.00 degrees
Fractional coordinates of all 5 atoms:
Tl1 0.000 0.000 0.000
C1 0.500 0.500 0.500
Cl1 0.000 0.000 0.500
Cl2 0.000 0.500 0.000
Cl3 0.500 0.000 0.000

5.
First-principles (SCAN) data for a crystal of Bi2AsPdN relaxed with PBEsol, as listed in Alexandria.

- Formation energy without anion corrections: 4.14 eV per formula unit
- Raw total energy: -43.055 eV per atom
- M_tot: 0.00 μB per formula unit
- D(E_F): 3.14 states/eV/f.u.
- Space group: No. 123

Cell lengths 5.536, 5.536, 3.553 Å; angles 90.00, 90.00, 90.00 degrees
Fractional coordinates of all 5 atoms:
Bi1 0.000 0.500 0.000
Bi2 0.500 0.000 0.000
As1 0.000 0.000 0.000
Pd1 0.500 0.500 0.500
N1 0.000 0.000 0.500

6.
First-principles (SCAN) data for a crystal of MnReSi relaxed with PBEsol, as listed in Alexandria.

- Formation energy without anion corrections: -0.78 eV per formula unit
- Raw total energy: -33.382 eV per atom
- M_tot: 0.00 μB per formula unit
- D(E_F): 1.21 states/eV/f.u.
- Space group: No. 107

Cell lengths 4.945, 4.945, 4.945 Å; angles 146.95, 146.95, 47.43 degrees
Fractional coordinates of all 3 atoms:
Mn1 0.000 0.000 0.000
Re1 0.677 0.677 0.000
Si1 0.357 0.357 0.000